Arrangement P

DFT (PBE) results for KCaCl after structural relaxation.

a b c (Å): 6.0181 6.0181 6.0181
angles (deg): 60.00 60.00 60.00
Closest atoms and distances in Å follow each position.
Atoms (fractional coordinates):
K1 0.0000 0.0000 0.0000  4 Cl 3.69, 4 Ca 3.69
Ca1 0.7500 0.7500 0.7500  4 K 3.69
Cl1 0.2500 0.2500 0.2500  4 K 3.69

Theoretical density   1235 kg/m3
Space-group type   F-43m, No. 216
M_tot   0.000 μB per atom

Arrangement Q

DFT (PBE) results for KCaCl after structural relaxation.

a b c (Å): 5.3106 5.3106 5.3106
angles (deg): 60.00 60.00 60.00
Closest atoms and distances in Å follow each position.
Atoms (fractional coordinates):
K1 0.0000 0.0000 0.0000  4 Cl 3.25
Ca1 0.5000 0.5000 0.5000  4 Cl 3.25
Cl1 0.7500 0.7500 0.7500  4 Ca 3.25, 4 K 3.25

Theoretical density   1797 kg/m3
Space-group type   F-43m, No. 216
M_tot   0.000 μB per atom

Taking the most stable structure as the zero point, the relative energies in eV/atom are arrangement P 0.351; arrangement Q 0.000.